# 1
Computed, not measured: a relaxed structure of Pr2Sm6Zn at the PBE level of DFT.

abc: 5.5549 9.9527 10.4534
angles: 90.00 90.00 90.00
Last column: nearest neighbours and their distance in Å.
Fractional coordinates of all 18 atoms:
Sm  0.0000  0.6935  0.5754  1 Zn 3.15, 1 Pr 3.38, 1 Sm 3.43
Sm  0.0000  0.6361  0.8987  2 Zn 3.27, 3 Sm 3.43-3.64, 3 Pr 3.56-3.64
Sm  0.0000  0.3065  0.4246  1 Zn 3.15, 1 Pr 3.38, 1 Sm 3.43
Sm  0.0000  0.9888  0.8067  1 Zn 3.21, 3 Pr 3.31-3.32
Sm  0.5000  0.8065  0.0754  1 Zn 3.15, 1 Pr 3.38, 1 Sm 3.43
Sm  0.5000  0.8639  0.3987  2 Zn 3.27, 3 Sm 3.43-3.64, 3 Pr 3.56-3.64
Sm  0.0000  0.3639  0.1013  2 Zn 3.27, 3 Sm 3.43-3.64, 3 Pr 3.56-3.64
Sm  0.5000  0.1935  0.9246  1 Zn 3.15, 1 Pr 3.38, 1 Sm 3.43
Sm  0.5000  0.5112  0.3067  1 Zn 3.21, 3 Pr 3.32
Sm  0.0000  0.0112  0.1933  1 Zn 3.21, 3 Pr 3.31-3.32
Sm  0.5000  0.4888  0.6933  1 Zn 3.21, 3 Pr 3.32
Sm  0.5000  0.1361  0.6013  2 Zn 3.27, 3 Sm 3.43-3.64, 3 Pr 3.56-3.64
Pr  0.0000  0.6840  0.2526  9 Sm 3.32-3.64
Pr  0.0000  0.3160  0.7474  9 Sm 3.32-3.64
Pr  0.5000  0.8160  0.7526  9 Sm 3.31-3.64
Pr  0.5000  0.1840  0.2474  9 Sm 3.31-3.64
Zn  0.5000  0.5000  0.0000  8 Sm 3.15-3.27
Zn  0.0000  0.0000  0.5000  8 Sm 3.15-3.27

mass density = 7.2 g/cm³
D(E_F) = 1.310 states/eV per atom
formation energy from the elements = 0.1 eV per formula unit
excess energy over the best structure of this formula in the dataset = 0.058 eV per atom
electronic total energy = -4.333 eV/atom
symmetry = Pnnm (58)

# 2
Computed, not measured: a relaxed structure of Pr6Sm2Zn at the PBE level of DFT.

abc: 5.5603 10.3031 10.5260
angles: 90.00 89.99 90.00
Last column: nearest neighbours and their distance in Å.
Fractional coordinates of all 18 atoms:
Sm  0.9999  0.2962  0.7662  10 Pr 3.37-3.72
Sm  0.4999  0.2039  0.2663  10 Pr 3.37-3.72
Sm  0.0001  0.7038  0.2338  10 Pr 3.37-3.72
Sm  0.5001  0.7961  0.7337  10 Pr 3.37-3.72
Pr  0.9996  0.3713  0.1117  2 Zn 3.30, 3 Pr 3.54-3.64, 3 Sm 3.65-3.66
Pr  0.0002  0.6893  0.5575  1 Zn 3.26, 3 Sm 3.41-3.52, 1 Pr 3.54
Pr  0.5002  0.8107  0.0575  1 Zn 3.26, 3 Sm 3.41-3.52, 1 Pr 3.54
Pr  0.4998  0.1893  0.9425  1 Zn 3.26, 3 Sm 3.41-3.52, 1 Pr 3.54
Pr  0.0004  0.6287  0.8883  2 Zn 3.30, 3 Pr 3.54-3.64, 3 Sm 3.65-3.66
Pr  0.5004  0.8712  0.3883  2 Zn 3.30, 3 Pr 3.54-3.64, 3 Sm 3.65-3.66
Pr  0.5001  0.4722  0.6917  1 Zn 3.26, 3 Sm 3.37-3.41, 1 Pr 3.64
Pr  0.9999  0.9722  0.8083  1 Zn 3.26, 3 Sm 3.37-3.41, 1 Pr 3.64
Pr  0.9998  0.3107  0.4425  1 Zn 3.26, 3 Sm 3.41-3.52, 1 Pr 3.54
Pr  0.0001  0.0278  0.1917  1 Zn 3.26, 3 Sm 3.37-3.41, 1 Pr 3.64
Pr  0.4999  0.5278  0.3083  1 Zn 3.26, 3 Sm 3.37-3.41, 1 Pr 3.64
Pr  0.4996  0.1288  0.6117  2 Zn 3.30, 3 Pr 3.54-3.64, 3 Sm 3.65-3.66
Zn  0.5000  0.5000  0.0000  8 Pr 3.26-3.30
Zn  0.0000  0.0000  0.5000  8 Pr 3.26-3.30

mass density = 6.7 g/cm³
D(E_F) = 1.355 states/eV per atom
formation energy from the elements = 0.1 eV per formula unit
excess energy over the best structure of this formula in the dataset = 0.049 eV per atom
electronic total energy = -4.368 eV/atom
symmetry = Pnnm (58)

# 3
Computed, not measured: a relaxed structure of Pr2SmZn5 at the PBE level of DFT.

abc: 4.9319 4.9319 8.1376
angles: 107.64 107.64 90.00
Last column: nearest neighbours and their distance in Å.
Fractional coordinates of all 8 atoms:
Zn  0.6104  0.1104  0.2208  2 Sm 2.95, 3 Zn 2.95-3.25, 2 Pr 3.03
Zn  0.8896  0.3896  0.7792  3 Zn 2.95-3.25, 2 Sm 2.95, 2 Pr 3.03
Zn  0.3896  0.8896  0.7792  2 Sm 2.95, 3 Zn 2.95-3.25, 2 Pr 3.03
Zn  0.5000  0.5000  0.0000  8 Zn 2.95
Zn  0.1104  0.6104  0.2208  3 Zn 2.95-3.25, 2 Sm 2.95, 2 Pr 3.03
Pr  0.2699  0.2699  0.5398  5 Zn 3.03-3.38
Pr  0.7301  0.7301  0.4602  5 Zn 3.03-3.38
Sm  0.0000  0.0000  0.0000  8 Zn 2.95

mass density = 7.0 g/cm³
D(E_F) = 0.608 states/eV per atom
formation energy from the elements = -2.2 eV per formula unit
electronic total energy = -2.860 eV/atom
symmetry = I4/mmm (139)

# 4
Computed, not measured: a relaxed structure of PrSm2Zn9 at the PBE level of DFT.

abc: 5.5238 5.5238 9.2758
angles: 72.68 72.68 60.00
Last column: nearest neighbours and their distance in Å.
Fractional coordinates of all 12 atoms:
Zn  0.5000  0.5000  0.5000  6 Zn 2.74
Zn  0.5846  0.0770  0.7538  7 Zn 2.65-2.80
Zn  0.9230  0.4154  0.2462  7 Zn 2.65-2.80
Zn  0.0770  0.5846  0.7538  7 Zn 2.65-2.80
Zn  0.6650  0.6650  0.0051  6 Zn 2.65-2.69
Zn  0.4154  0.4154  0.2462  7 Zn 2.65-2.80
Zn  0.4154  0.9230  0.2462  7 Zn 2.65-2.80
Zn  0.5846  0.5846  0.7538  7 Zn 2.65-2.80
Zn  0.3350  0.3350  0.9949  6 Zn 2.65-2.69
Pr  0.0000  0.0000  0.0000  18 Zn 3.19-3.50
Sm  0.1410  0.1410  0.5771  12 Zn 3.16-3.28, 3 Sm 3.46
Sm  0.8590  0.8590  0.4229  12 Zn 3.16-3.28, 3 Sm 3.46

mass density = 7.4 g/cm³
D(E_F) = 0.619 states/eV per atom
formation energy from the elements = -3.7 eV per formula unit
electronic total energy = -2.449 eV/atom
symmetry = R-3m (166)

# 5
Computed, not measured: a relaxed structure of PrSmZn2 at the PBE level of DFT.

abc: 3.6836 5.1943 5.1943
angles: 90.00 90.00 90.00
Last column: nearest neighbours and their distance in Å.
Fractional coordinates of all 4 atoms:
Sm  0.5000  0.0000  0.0000  8 Zn 3.18
Pr  0.5000  0.5000  0.5000  8 Zn 3.18
Zn  0.0000  0.0000  0.5000  4 Sm 3.18, 4 Pr 3.18
Zn  0.0000  0.5000  0.0000  4 Pr 3.18, 4 Sm 3.18

mass density = 7.1 g/cm³
D(E_F) = 1.054 states/eV per atom
formation energy from the elements = -1.2 eV per formula unit
excess energy over the best structure of this formula in the dataset = 0.002 eV per atom
electronic total energy = -3.320 eV/atom
symmetry = P4/mmm (123)

# 6
Computed, not measured: a relaxed structure of Pr6SmZn at the PBE level of DFT.

abc: 8.6939 8.6803 6.4983
angles: 48.09 48.00 67.55
Last column: nearest neighbours and their distance in Å.
Fractional coordinates of all 8 atoms:
Pr  0.7648  0.0473  0.7642  1 Zn 3.07, 1 Pr 3.41
Pr  0.0475  0.5753  0.1420  1 Zn 3.07, 1 Pr 3.40
Pr  0.4242  0.2354  0.2932  1 Zn 3.07, 1 Pr 3.41
Pr  0.5758  0.7646  0.7068  1 Zn 3.07, 1 Pr 3.41
Pr  0.2352  0.9527  0.2358  1 Zn 3.07, 1 Pr 3.41
Pr  0.9525  0.4247  0.8580  1 Zn 3.07, 1 Pr 3.40
Sm  0.5000  0.5000  0.5000  12 Pr 3.61-3.74
Zn  0.0000  0.0000  0.0000  6 Pr 3.07

mass density = 6.5 g/cm³
D(E_F) = 1.283 states/eV per atom
formation energy from the elements = 0.2 eV per formula unit
electronic total energy = -4.314 eV/atom
symmetry = P-1 (2)

# 7
Computed, not measured: a relaxed structure of Pr3Sm4Zn at the PBE level of DFT.

abc: 3.6647 3.6647 19.2657
angles: 90.00 90.00 90.00
Last column: nearest neighbours and their distance in Å.
Fractional coordinates of all 8 atoms:
Pr  0.5000  0.5000  0.2298  4 Pr 3.66, 8 Sm 3.67-3.69
Pr  0.5000  0.5000  0.7702  4 Pr 3.66, 8 Sm 3.67-3.69
Pr  0.5000  0.5000  0.5000  4 Pr 3.66, 8 Sm 3.67
Sm  0.0000  0.0000  0.3647  4 Sm 3.66, 8 Pr 3.67
Sm  0.0000  0.0000  0.0931  4 Zn 3.15
Sm  0.0000  0.0000  0.9069  4 Zn 3.15
Sm  0.0000  0.0000  0.6353  4 Sm 3.66, 8 Pr 3.67
Zn  0.5000  0.5000  0.0000  8 Sm 3.15

mass density = 7.0 g/cm³
D(E_F) = 1.222 states/eV per atom
formation energy from the elements = -0.6 eV per formula unit
electronic total energy = -4.382 eV/atom
symmetry = P4/mmm (123)

# 8
Computed, not measured: a relaxed structure of PrSm2Zn at the PBE level of DFT.

abc: 5.4694 5.4694 5.4714
angles: 60.01 60.01 60.00
Last column: nearest neighbours and their distance in Å.
Fractional coordinates of all 4 atoms:
Sm  0.7499  0.7499  0.7504  4 Zn 3.35, 4 Pr 3.35
Sm  0.2501  0.2501  0.2496  4 Zn 3.35, 4 Pr 3.35
Pr  0.5000  0.5000  0.5000  8 Sm 3.35
Zn  0.0000  0.0000  0.0000  8 Sm 3.35

mass density = 7.3 g/cm³
D(E_F) = 1.497 states/eV per atom
formation energy from the elements = 0.3 eV per formula unit
excess energy over the best structure of this formula in the dataset = 0.238 eV per atom
electronic total energy = -3.791 eV/atom
symmetry = Fm-3m (225)

# 9
Computed, not measured: a relaxed structure of Pr4Sm5Zn at the PBE level of DFT.

abc: 3.6690 3.6690 24.3964
angles: 90.00 90.00 90.00
Last column: nearest neighbours and their distance in Å.
Fractional coordinates of all 10 atoms:
Sm  0.5000  0.5000  0.7136  8 Pr 3.65-3.69, 4 Sm 3.67
Sm  0.5000  0.5000  0.0729  4 Zn 3.15
Sm  0.5000  0.5000  0.5000  8 Pr 3.67, 4 Sm 3.67
Sm  0.5000  0.5000  0.2864  8 Pr 3.65-3.69, 4 Sm 3.67
Sm  0.5000  0.5000  0.9271  4 Zn 3.15
Pr  0.0000  0.0000  0.6062  8 Sm 3.67-3.69, 4 Pr 3.67
Pr  0.0000  0.0000  0.3938  8 Sm 3.67-3.69, 4 Pr 3.67
Pr  0.0000  0.0000  0.8191  8 Sm 3.65-3.70, 4 Pr 3.67
Pr  0.0000  0.0000  0.1809  8 Sm 3.65-3.70, 4 Pr 3.67
Zn  0.0000  0.0000  0.0000  8 Sm 3.15

mass density = 7.0 g/cm³
D(E_F) = 1.183 states/eV per atom
formation energy from the elements = -0.6 eV per formula unit
electronic total energy = -4.454 eV/atom
symmetry = P4/mmm (123)

# 10
Computed, not measured: a relaxed structure of Pr2SmZn2 at the PBE level of DFT.

abc: 3.7366 5.2842 13.9007
angles: 90.00 97.75 90.00
Last column: nearest neighbours and their distance in Å.
Fractional coordinates of all 10 atoms:
Sm  0.1430  0.2500  0.2828  6 Zn 3.11-3.24
Sm  0.8570  0.7500  0.7172  6 Zn 3.11-3.24
Pr  0.7691  0.2500  0.5373  2 Zn 3.16-3.17, 4 Pr 3.39-3.40
Pr  0.2309  0.7500  0.4627  2 Zn 3.16-3.17, 4 Pr 3.39-3.40
Pr  0.0461  0.7500  0.0909  8 Zn 3.17-3.25
Pr  0.9539  0.2500  0.9091  8 Zn 3.17-3.25
Zn  0.4486  0.7500  0.8982  2 Sm 3.11-3.12, 6 Pr 3.24-3.25
Zn  0.6394  0.7500  0.2770  4 Pr 3.16-3.17, 4 Sm 3.24
Zn  0.3606  0.2500  0.7230  4 Pr 3.16-3.17, 4 Sm 3.24
Zn  0.5514  0.2500  0.1018  2 Sm 3.11-3.12, 6 Pr 3.24-3.25

mass density = 6.9 g/cm³
D(E_F) = 1.106 states/eV per atom
formation energy from the elements = -1.2 eV per formula unit
excess energy over the best structure of this formula in the dataset = 0.000 eV per atom
electronic total energy = -3.597 eV/atom
symmetry = P2_1/m (11)